# 1
This record from Alexandria describes a geometry-optimized SrNiO3 structure. The functional is PBE+U.

Its crystal system is monoclinic.

The structure belongs to space group P2_1/c (No. 14); the cell edges are 7.398, 6.104 and 7.247 Å and the angles 90.00°, 116.30° and 90.00°. The inequivalent atoms are Sr at (0.150, 0.231, 0.102), Ni at (0.332, 0.644, 0.402), O at (0.062, 0.582, 0.236), O at (0.269, 0.688, 0.654) and O at (0.391, 0.167, 0.958).


# 2
This record from Alexandria describes a geometry-optimized SrNiO3 structure. The functional is PBE+U.

Its crystal system is trigonal.

The structure belongs to space group R-3 (No. 148, hexagonal axes); the cell edges are 5.3531, 5.3531 and 15.7086 Å and the angles 90.00°, 90.00° and 120.00°. The inequivalent atoms are Sr at (0.0000, 0.0000, 0.1272), Ni at (0.0000, 0.0000, 0.3363) and O at (0.0093, 0.4109, 0.9316).


# 3
This record from Alexandria describes a geometry-optimized SrNiO3 structure. The functional is PBE+U.

Its crystal system is trigonal.

The structure belongs to space group R3m (No. 160, hexagonal axes); the cell edges are 6.4342, 6.4342 and 10.1736 Å and the angles 90.00°, 90.00° and 120.00°. The inequivalent atoms are Sr at (0.0000, 0.0000, 0.0000), Ni at (0.0000, 0.0000, 0.7241) and O at (0.0499, 0.5250, 0.4443).


# 4
This record from Alexandria describes a geometry-optimized SrNiO2 structure. The functional is PBE+U.

Its crystal system is orthorhombic.

The structure belongs to space group Cmcm (No. 63); the cell edges are 3.350, 11.496 and 5.955 Å and the angles 90.00°, 90.00° and 90.00°. The inequivalent atoms are Sr at (0.000, 0.124, 0.250), Ni at (0.000, 0.385, 0.250), O at (0.000, 0.211, 0.750) and O at (0.000, 0.500, 0.000).


The evaluated calculated total energy for the records listed, in turn: -5.125, -5.152, -4.832, -5.272 eV per atom.